! RbLaFe3 GGA-PBE relaxed; values from VASP
! Total magnetization = 8.0 μB per formula unit
! Space group = Pm-3m
! Relative energy among the computed polymorphs = 432.6 meV per atom
! Crystal system = cubic
! ΔE_f = 2019 meV per atom
! V = 25.06 Å³ per atom
! VASP energy = -4.238 eV per atom
&SYSTEM
  ibrav = 0, nat = 5, ntyp = 3
/
ATOMIC_SPECIES
Rb 85.47 Rb.upf
La 138.91 La.upf
Fe 55.84 Fe.upf
CELL_PARAMETERS angstrom
5.0041 0.0000 0.0000
0.0000 5.0041 0.0000
0.0000 0.0000 5.0041
ATOMIC_POSITIONS crystal
Rb 0.0000 0.0000 0.0000
La 0.5000 0.5000 0.5000
Fe 0.0000 0.0000 0.5000
Fe 0.0000 0.5000 0.0000
Fe 0.5000 0.0000 0.0000